(1)
First-principles (GGA-PBE) data for crystalline Nd8MgAg2 at its relaxed geometry, as listed in Alexandria.

Formation energy from the elements (eV/atom): -0.08
Relative energy among the computed polymorphs (meV per atom): 0

CIF file:
```
data_Nd8MgAg2
_chemical_formula_sum 'Nd16 Mg2 Ag4'
_symmetry_space_group_name_H-M 'C 1 2/m 1'
_symmetry_Int_Tables_number 12
_symmetry_space_group_name_Hall '-C 2y'
_cell_length_a 16.5195
_cell_length_b 5.5273
_cell_length_c 8.6853
_cell_angle_alpha 90.00
_cell_angle_beta 120.58
_cell_angle_gamma 90.00
loop_
_atom_site_label
_atom_site_type_symbol
_atom_site_fract_x
_atom_site_fract_y
_atom_site_fract_z
Nd1 Nd 0.0682 0.0000 0.2273
Nd2 Nd 0.0989 0.5000 0.9618
Nd3 Nd 0.1432 0.0000 0.7039
Nd4 Nd 0.1842 0.5000 0.4570
Mg1 Mg 0.0000 0.5000 0.5000
Ag1 Ag 0.2285 0.0000 0.1267
```

---

(2)
First-principles (GGA-PBE) data for crystalline NdMgAg at its relaxed geometry, as listed in Alexandria.

Formation energy from the elements (eV/atom): -0.19

CIF file:
```
data_NdMgAg
_chemical_formula_sum 'Nd1 Mg1 Ag1'
_symmetry_space_group_name_H-M 'P -6 m 2'
_symmetry_Int_Tables_number 187
_symmetry_space_group_name_Hall 'P -6 2'
_cell_length_a 4.9746
_cell_length_b 4.9746
_cell_length_c 3.5053
_cell_angle_alpha 90.00
_cell_angle_beta 90.00
_cell_angle_gamma 120.00
loop_
_atom_site_label
_atom_site_type_symbol
_atom_site_fract_x
_atom_site_fract_y
_atom_site_fract_z
Nd1 Nd 0.0000 0.0000 0.0000
Mg1 Mg 0.3333 0.6667 0.5000
Ag1 Ag 0.6667 0.3333 0.5000
```

---

(3)
First-principles (GGA-PBE) data for crystalline NdMgAgRu at its relaxed geometry, as listed in Alexandria.

Formation energy from the elements (eV/atom): -0.05

CIF file:
```
data_NdMgAgRu
_chemical_formula_sum 'Nd4 Mg4 Ag4 Ru4'
_symmetry_space_group_name_H-M 'F -4 3 m'
_symmetry_Int_Tables_number 216
_symmetry_space_group_name_Hall 'F -4 2 3'
_cell_length_a 6.9103
_cell_length_b 6.9103
_cell_length_c 6.9103
_cell_angle_alpha 90.00
_cell_angle_beta 90.00
_cell_angle_gamma 90.00
loop_
_atom_site_label
_atom_site_type_symbol
_atom_site_fract_x
_atom_site_fract_y
_atom_site_fract_z
Nd1 Nd 0.0000 0.0000 0.0000
Mg1 Mg 0.0000 0.0000 0.5000
Ag1 Ag 0.2500 0.2500 0.7500
Ru1 Ru 0.2500 0.2500 0.2500
```